(1)
Computed, not measured: TaB2Mo after structural relaxation at the PBE-GGA level of DFT.

Cell: 4.5835 4.5835 3.1334 Å, 90.00 90.00 138.44°
Atoms (fractional coordinates):
B1 0.5606 0.4394 0.0000
B2 0.4408 0.5592 0.5000
Mo1 0.1445 0.8555 0.5000
Ta1 0.8541 0.1459 0.0000

Properties
* E_tot: -9.676 eV/atom
* ΔE to the lowest computed polymorph: 0 meV per atom
* E_form: -667 meV per atom

(2)
Computed, not measured: Pm3Ho4Pd4 after structural relaxation at the PBE-GGA level of DFT.

Cell: 4.7561 7.5986 8.9614 Å, 115.09 105.39 90.00°
Atoms (fractional coordinates):
Pd1 0.2044 0.7044 0.4088
Pd2 0.7956 0.2956 0.5912
Pd3 0.5000 0.1859 0.0000
Pd4 0.5000 0.8141 0.0000
Pm1 0.8974 0.8974 0.7947
Pm2 0.0000 0.5000 0.0000
Pm3 0.1026 0.1026 0.2053
Ho1 0.3276 0.1113 0.6552
Ho2 0.6724 0.4561 0.3448
Ho3 0.3276 0.5439 0.6552
Ho4 0.6724 0.8887 0.3448

Properties
* E_tot: -5.426 eV/atom
* E_form: -578 meV per atom

> Which value of E_tot does entry 1 give?

-9.676 eV/atom

> What is the E_form in the second record?

-578 meV per atom

> Which of these has the highest E_tot?

Pm3Ho4Pd4

Please write out number 1 again, unchanged.
Computed, not measured: TaB2Mo after structural relaxation at the PBE-GGA level of DFT.

Cell: 4.5835 4.5835 3.1334 Å, 90.00 90.00 138.44°
Atoms (fractional coordinates):
B1 0.5606 0.4394 0.0000
B2 0.4408 0.5592 0.5000
Mo1 0.1445 0.8555 0.5000
Ta1 0.8541 0.1459 0.0000

Properties
* E_tot: -9.676 eV/atom
* ΔE to the lowest computed polymorph: 0 meV per atom
* E_form: -667 meV per atom